VASP calculation (PBE) on an optimized crystal structure of MgSbS4.

Results
Total magnetization   0.9 μB/f.u.
Formation energy (no corrections)   -0.16 eV/atom
V   656.91 Å³ per cell
Crystal system   orthorhombic
Total energy   -3.865 eV per atom

CIF file:
```
data_MgSbS4
_cell_length_a 8.5984
_cell_length_b 9.2290
_cell_length_c 8.2781
_cell_angle_alpha 90.00
_cell_angle_beta 90.00
_cell_angle_gamma 90.00
_space_group_name_H-M_alt 'C m c m'
_space_group_IT_number 63
_space_group_name_Hall '-C 2c 2'
loop_
_atom_site_label
_atom_site_fract_x
_atom_site_fract_y
_atom_site_fract_z
Mg1 0.0000 0.0596 0.2500
Sb1 0.0000 0.3446 0.7500
S1 0.0000 0.1603 0.5445
S2 0.2121 0.4929 0.2500
```

=====

VASP calculation (PBE) on an optimized crystal structure of Ce5Ga2Si2.

Results
Total magnetization   3.4 μB/f.u.
Formation energy (no corrections)   -0.50 eV/atom
V   893.10 Å³ per cell
Crystal system   orthorhombic
Total energy   -5.673 eV per atom

CIF file:
```
data_Ce5Ga2Si2
_cell_length_a 15.1055
_cell_length_b 7.6320
_cell_length_c 7.7469
_cell_angle_alpha 90.00
_cell_angle_beta 90.00
_cell_angle_gamma 90.00
_space_group_name_H-M_alt 'C m c e'
_space_group_IT_number 64
_space_group_name_Hall '-C 2ac 2'
loop_
_atom_site_label
_atom_site_fract_x
_atom_site_fract_y
_atom_site_fract_z
Ce1 0.0000 0.0000 0.0000
Ce2 0.1341 0.1947 0.3162
Ga1 0.2190 0.0000 0.0000
Si1 0.0000 0.1086 0.6129
```

=====

VASP calculation (PBE) on an optimized crystal structure of Nb2CrMo8.

Results
Total magnetization   0.0 μB/f.u.
V   185.51 Å³ per cell
ΔE_f   337 kJ/mol of formula units
Crystal system   triclinic
Total energy   -10.265 eV per atom

CIF file:
```
data_Nb2CrMo8
_cell_length_a 2.7075
_cell_length_b 6.8213
_cell_length_c 10.5213
_cell_angle_alpha 103.90
_cell_angle_beta 90.37
_cell_angle_gamma 100.01
_space_group_name_H-M_alt 'P 1'
_space_group_IT_number 1
_space_group_name_Hall 'P 1'
loop_
_atom_site_label
_atom_site_fract_x
_atom_site_fract_y
_atom_site_fract_z
Nb1 0.0000 0.0000 0.0000
Nb2 0.1071 0.3920 0.4463
Cr1 0.2360 0.6601 0.8320
Mo1 0.2189 0.6783 0.0911
Mo2 0.3898 0.3527 0.6856
Mo3 0.4368 0.3560 0.1784
Mo4 0.4542 0.0161 0.5123
Mo5 0.6718 0.0276 0.2617
Mo6 0.7143 0.3390 0.9174
Mo7 0.7578 0.9633 0.7405
Mo8 0.8710 0.6969 0.3392
```

=====

VASP calculation (PBE) on an optimized crystal structure of Eu6Cr.

Results
Total magnetization   44.1 μB/f.u.
V   796.80 Å³ per cell
ΔE_f   973 kJ/mol of formula units
Crystal system   cubic
Total energy   -8.740 eV per atom

CIF file:
```
data_Eu6Cr
_cell_length_a 9.2708
_cell_length_b 9.2708
_cell_length_c 9.2708
_cell_angle_alpha 90.00
_cell_angle_beta 90.00
_cell_angle_gamma 90.00
_space_group_name_H-M_alt 'I m -3 m'
_space_group_IT_number 229
_space_group_name_Hall '-I 4 2 3'
loop_
_atom_site_label
_atom_site_fract_x
_atom_site_fract_y
_atom_site_fract_z
Eu1 0.0000 0.2500 0.5000
Cr1 0.0000 0.0000 0.0000
```

=====

VASP calculation (PBE) on an optimized crystal structure of AcGaHRh2.

Results
Total magnetization   0.0 μB/f.u.
V   338.52 Å³ per cell
Crystal system   orthorhombic
Total energy   -5.657 eV per atom

CIF file:
```
data_AcGaHRh2
_cell_length_a 4.1614
_cell_length_b 11.4918
_cell_length_c 7.0788
_cell_angle_alpha 90.00
_cell_angle_beta 90.00
_cell_angle_gamma 90.00
_space_group_name_H-M_alt 'C m c m'
_space_group_IT_number 63
_space_group_name_Hall '-C 2c 2'
loop_
_atom_site_label
_atom_site_fract_x
_atom_site_fract_y
_atom_site_fract_z
Ac1 0.0000 0.0721 0.2500
Ga1 0.0000 0.2067 0.7500
H1 0.0000 0.5000 0.0000
Rh1 0.0000 0.3420 0.0460
```

=====

VASP calculation (PBE) on an optimized crystal structure of MnPt2Rh.

Results
Total magnetization   4.1 μB/f.u.
V   119.26 Å³ per cell
ΔE_f   -70 kJ/mol of formula units
Crystal system   monoclinic
Total energy   -7.332 eV per atom

CIF file:
```
data_MnPt2Rh
_cell_length_a 9.1453
_cell_length_b 2.8034
_cell_length_c 4.7464
_cell_angle_alpha 90.00
_cell_angle_beta 101.47
_cell_angle_gamma 90.00
_space_group_name_H-M_alt 'C 1 m 1'
_space_group_IT_number 8
_space_group_name_Hall 'C -2y'
loop_
_atom_site_label
_atom_site_fract_x
_atom_site_fract_y
_atom_site_fract_z
Mn1 0.0000 0.0000 0.0000
Pt1 0.0036 0.5000 0.5065
Pt2 0.2464 0.5000 0.2414
Rh1 0.2576 0.0000 0.7493
```

=====

VASP calculation (PBE) on an optimized crystal structure of V2CoPt2.

Results
Total magnetization   1.4 μB/f.u.
Distance to the lowest polymorph of the same formula   1.14 eV/f.u.
V   148.97 Å³ per cell
ΔE_f   -76 kJ/mol of formula units
Crystal system   tetragonal
Total energy   -7.642 eV per atom

CIF file:
```
data_V2CoPt2
_cell_length_a 7.4259
_cell_length_b 7.4259
_cell_length_c 2.7014
_cell_angle_alpha 90.00
_cell_angle_beta 90.00
_cell_angle_gamma 90.00
_space_group_name_H-M_alt 'P 4/m b m'
_space_group_IT_number 127
_space_group_name_Hall '-P 4 2ab'
loop_
_atom_site_label
_atom_site_fract_x
_atom_site_fract_y
_atom_site_fract_z
V1 0.1677 0.3323 0.0000
Co1 0.0000 0.0000 0.5000
Pt1 0.1309 0.6309 0.5000
```

=====

VASP calculation (PBE) on an optimized crystal structure of Ti2CrCl2.

Results
Total magnetization   0.0 μB/f.u.
Distance to the lowest polymorph of the same formula   0.14 eV/f.u.
Formation energy (no corrections)   0.20 eV/atom
V   175.12 Å³ per cell
Crystal system   tetragonal
Total energy   -5.620 eV per atom

CIF file:
```
data_Ti2CrCl2
_cell_length_a 3.7857
_cell_length_b 3.7857
_cell_length_c 12.2192
_cell_angle_alpha 90.00
_cell_angle_beta 90.00
_cell_angle_gamma 90.00
_space_group_name_H-M_alt 'I 4/m m m'
_space_group_IT_number 139
_space_group_name_Hall '-I 4 2'
loop_
_atom_site_label
_atom_site_fract_x
_atom_site_fract_y
_atom_site_fract_z
Ti1 0.0000 0.0000 0.1102
Cr1 0.0000 0.0000 0.5000
Cl1 0.0000 0.5000 0.2500
```